Run a
A relaxed Y2SiAs crystal, computed with PBE.

a b c (Å): 5.217 5.217 5.217
angles (deg): 130.63 115.81 85.04
Atoms (fractional coordinates):
As 0.750 0.250 0.500
Y 0.998 0.998 0.000
Y 0.502 0.502 0.000
Si 0.250 0.750 0.500

Computed properties:
- SG: Immm (71)
- Magnetic moment: 0.00 μB/cell
- V: 93 Å³ per cell

***

Run b
A relaxed Y2SiAs crystal, computed with PBE.

a b c (Å): 7.140 5.215 3.528
angles (deg): 80.71 75.03 126.67
Atoms (fractional coordinates):
Y 0.000 0.000 0.000
Y 0.500 0.000 0.500
Si 0.500 0.500 0.000
As 0.000 0.500 0.500

Computed properties:
- SG: C2/m (12)
- Magnetic moment: 0.00 μB/cell
- V: 93 Å³ per cell

***

The calculated energies rank the structures as follows, beginning with the most stable: run b, run a.

***

Run a
A relaxed ZnSi2As crystal, computed with PBE.

a b c (Å): 3.734 3.662 4.925
angles (deg): 90.00 90.00 90.00
Atoms (fractional coordinates):
Si 0.000 0.000 0.000
Si 0.500 0.500 0.000
As 0.000 0.500 0.500
Zn 0.500 0.000 0.500

Computed properties:
- SG: Pmmm (47)
- Magnetic moment: 0.00 μB/cell
- V: 67 Å³ per cell

***

Run b
A relaxed ZnSi2As crystal, computed with PBE.

a b c (Å): 4.550 4.550 4.550
angles (deg): 60.00 60.00 60.00
Atoms (fractional coordinates):
Zn 0.000 0.000 0.000
As 0.500 0.500 0.500
Si 0.250 0.250 0.250
Si 0.750 0.750 0.750

Computed properties:
- SG: Fm-3m (225)
- Magnetic moment: 0.00 μB/cell
- V: 67 Å³ per cell

***

The calculated energies rank the structures as follows, beginning with the most stable: run a, run b.

***

Run a
A relaxed ZnSi2As crystal, computed with PBE.

a b c (Å): 4.294 4.294 3.614
angles (deg): 90.00 90.00 90.00
Atoms (fractional coordinates):
Si 0.500 0.500 0.000
Si 0.000 0.000 0.000
As 0.000 0.500 0.500
Zn 0.500 0.000 0.500

Computed properties:
- SG: P4/mmm (123)
- Magnetic moment: 0.00 μB/cell
- V: 67 Å³ per cell

***

Run b
A relaxed ZnSi2As crystal, computed with PBE.

a b c (Å): 3.658 2.575 7.181
angles (deg): 89.96 90.00 90.00
Atoms (fractional coordinates):
As 0.500 0.750 0.750
Si 0.000 0.750 0.481
Si 0.000 0.750 0.019
Zn 0.500 0.250 0.250

Computed properties:
- SG: Pmmm (47)
- Magnetic moment: 0.00 μB/cell
- V: 68 Å³ per cell

***

Run c
A relaxed ZnSi2As crystal, computed with PBE.

a b c (Å): 9.871 9.871 9.871
angles (deg): 16.25 16.25 16.25
Atoms (fractional coordinates):
Zn 0.250 0.250 0.250
Si 0.501 0.501 0.501
Si 0.999 0.999 0.999
As 0.750 0.750 0.750

Computed properties:
- SG: R-3m (166)
- Magnetic moment: 0.00 μB/cell
- V: 66 Å³ per cell

***

The calculated energies rank the structures as follows, beginning with the most stable: run b, run c, run a.

***

Run a
A relaxed ZnSi2As crystal, computed with PBE.

a b c (Å): 5.896 5.896 4.595
angles (deg): 112.84 112.84 27.06
Atoms (fractional coordinates):
Si 0.000 0.000 0.002
Si 0.500 0.500 0.498
Zn 0.250 0.250 0.250
As 0.750 0.750 0.750

Computed properties:
- SG: C2/m (12)
- Magnetic moment: 0.00 μB/cell
- V: 67 Å³ per cell

***

Run b
A relaxed ZnSi2As crystal, computed with PBE.

a b c (Å): 5.682 5.682 6.761
angles (deg): 65.15 65.15 90.00
Atoms (fractional coordinates):
As 0.000 0.000 0.000
As 0.750 0.250 0.500
Zn 0.250 0.750 0.500
Zn 0.500 0.500 0.000
Si 0.621 0.125 0.250
Si 0.375 0.379 0.750
Si 0.875 0.871 0.750
Si 0.129 0.625 0.250

Computed properties:
- SG: I-42d (122)
- Magnetic moment: 0.00 μB/cell
- V: 176 Å³ per cell

***

The calculated energies rank the structures as follows, beginning with the most stable: run b, run a.

***

Run a
A relaxed ZnSi2As crystal, computed with PBE.

a b c (Å): 2.727 2.727 8.902
angles (deg): 90.00 90.00 90.00
Atoms (fractional coordinates):
Si 0.000 0.000 0.034
Si 0.500 0.500 0.254
Zn 0.000 0.000 0.481
As 0.500 0.500 0.731

Computed properties:
- SG: P4mm (99)
- Magnetic moment: 0.00 μB/cell
- V: 66 Å³ per cell

***

Run b
A relaxed ZnSi2As crystal, computed with PBE.

a b c (Å): 5.212 2.547 5.134
angles (deg): 90.67 90.00 90.00
Atoms (fractional coordinates):
Si 0.500 0.010 0.125
Si 0.000 0.996 0.125
As 0.500 0.027 0.625
Zn 0.000 0.467 0.625

Computed properties:
- SG: Pm (6)
- Magnetic moment: 0.00 μB/cell
- V: 68 Å³ per cell

***

Run c
A relaxed ZnSi2As crystal, computed with PBE.

a b c (Å): 3.644 3.645 5.194
angles (deg): 90.00 90.00 90.00
Atoms (fractional coordinates):
As 0.500 0.500 0.625
Zn 0.000 0.000 0.624
Si 0.000 0.000 0.125
Si 0.500 0.500 0.126

Computed properties:
- SG: P4/mmm (123)
- Magnetic moment: 0.00 μB/cell
- V: 69 Å³ per cell

***

The calculated energies rank the structures as follows, beginning with the most stable: run c, run b, run a.

***

Run a
A relaxed ZnSi2As crystal, computed with PBE.

a b c (Å): 5.291 5.291 4.808
angles (deg): 90.00 90.00 29.55
Atoms (fractional coordinates):
Si 0.253 0.253 0.125
Si 0.000 0.000 0.125
Zn 0.496 0.496 0.625
As 0.751 0.751 0.625

Computed properties:
- SG: Amm2 (38)
- Magnetic moment: 0.00 μB/cell
- V: 66 Å³ per cell

***

Run b
A relaxed ZnSi2As crystal, computed with PBE.

a b c (Å): 2.796 2.796 8.726
angles (deg): 90.00 90.00 106.16
Atoms (fractional coordinates):
As 0.500 0.500 0.743
Si 0.500 0.500 0.245
Si 0.000 0.000 0.024
Zn 0.000 0.000 0.488

Computed properties:
- SG: Cmm2 (35)
- Magnetic moment: 0.00 μB/cell
- V: 66 Å³ per cell

***

Run c
A relaxed ZnSi2As crystal, computed with PBE.

a b c (Å): 5.725 5.725 5.725
angles (deg): 144.40 141.10 53.75
Atoms (fractional coordinates):
Zn 0.500 0.500 0.000
Si 0.008 0.008 0.000
Si 0.189 0.689 0.500
As 0.803 0.303 0.500

Computed properties:
- SG: Imm2 (44)
- Magnetic moment: 0.00 μB/cell
- V: 68 Å³ per cell

***

Run d
A relaxed ZnSi2As crystal, computed with PBE.

a b c (Å): 5.610 5.610 5.610
angles (deg): 141.62 141.62 55.40
Atoms (fractional coordinates):
Zn 0.250 0.750 0.500
Si 0.500 0.500 0.000
Si 0.000 0.000 0.000
As 0.750 0.250 0.500

Computed properties:
- SG: I4/mmm (139)
- Magnetic moment: 0.00 μB/cell
- V: 68 Å³ per cell

***

The calculated energies rank the structures as follows, beginning with the most stable: run c, run a, run b, run d.